(1)
The following is a PBE-GGA calculation of a relaxed GdHoZnPt crystal, from Alexandria.

abc: 4.999 4.999 4.999
angles: 60.00 60.00 60.00
Site moments in Bohr magnetons follow the coordinates.
Fractional coordinates of all 4 atoms:
Zn: 0.000 0.000 0.000  -0.01
Gd: 0.750 0.750 0.750  6.99
Ho: 0.250 0.250 0.250  0.02
Pt: 0.500 0.500 0.500  -0.01

Formation energy, eV per atom: -0.7778

---

(2)
The following is a PBE-GGA calculation of a relaxed Nd2PuC crystal, from Alexandria.

abc: 3.603 3.603 10.266
angles: 79.89 79.89 60.00
Site moments in Bohr magnetons follow the coordinates.
Fractional coordinates of all 4 atoms:
C: 0.500 0.500 0.500  0.01
Nd: 0.119 0.119 0.643  0.05
Nd: 0.881 0.881 0.357  0.05
Pu: 0.000 0.000 0.000  5.81

Formation energy, eV per atom: 0.2020

---

(3)
The following is a PBE-GGA calculation of a relaxed TcSn3Ir crystal, from Alexandria.

abc: 5.104 5.104 5.104
angles: 90.00 90.00 90.00
Site moments in Bohr magnetons follow the coordinates.
Fractional coordinates of all 5 atoms:
Ir: 0.000 0.000 0.000  -0.14
Sn: 0.000 0.500 0.000  -0.08
Sn: 0.000 0.000 0.500  -0.08
Sn: 0.500 0.000 0.000  -0.03
Tc: 0.500 0.500 0.500  2.96

Formation energy, eV per atom: 0.9079

---

(4)
The following is a PBE-GGA calculation of a relaxed HgPbS2N crystal, from Alexandria.

abc: 5.330 5.330 4.475
angles: 90.00 90.00 90.00
Site moments in Bohr magnetons follow the coordinates.
Fractional coordinates of all 5 atoms:
Pb: 0.000 0.000 0.000  -0.04
S: 0.000 0.500 0.000  0.08
S: 0.500 0.000 0.000  0.08
Hg: 0.500 0.500 0.500  -0.01
N: 0.000 0.000 0.500  1.11

E_form (uncorrected), eV/atom: 1.088